# Ba2LiTc

A geometry-optimized Ba2LiTc structure (PBE, Alexandria via LeMat-Bulk).

Properties
excess energy over the best structure of this formula in the dataset: 0.1603 eV/atom
formation enthalpy at 0 K: 0.8040 eV/atom

Cell and atoms, written as CIF:
```
data_Ba2LiTc
_cell_length_a 6.214
_cell_length_b 6.214
_cell_length_c 6.214
_cell_angle_alpha 133.85
_cell_angle_beta 133.85
_cell_angle_gamma 67.33
_symmetry_space_group_name_H-M 'P 1'
_symmetry_Int_Tables_number 1
loop_
_symmetry_equiv_pos_as_xyz
'x,y,z'
loop_
_atom_site_label
_atom_site_fract_x
_atom_site_fract_y
_atom_site_fract_z
Tc1 0.750 0.250 0.500
Ba1 0.000 0.000 0.000
Ba2 0.250 0.750 0.500
Li1 0.500 0.500 0.000
```


# Tl2HgBi2

A geometry-optimized Tl2HgBi2 structure (PBE, Alexandria via LeMat-Bulk).

Properties
excess energy over the best structure of this formula in the dataset: 0.0648 eV/atom
formation enthalpy at 0 K: 0.0554 eV/atom

Cell and atoms, written as CIF:
```
data_Tl2HgBi2
_cell_length_a 10.258
_cell_length_b 10.258
_cell_length_c 3.419
_cell_angle_alpha 90.00
_cell_angle_beta 90.00
_cell_angle_gamma 90.00
_symmetry_space_group_name_H-M 'P 1'
_symmetry_Int_Tables_number 1
loop_
_symmetry_equiv_pos_as_xyz
'x,y,z'
loop_
_atom_site_label
_atom_site_fract_x
_atom_site_fract_y
_atom_site_fract_z
Bi1 0.393 0.107 0.500
Bi2 0.893 0.393 0.500
Bi3 0.107 0.607 0.500
Tl1 0.680 0.180 0.000
Tl2 0.820 0.680 0.000
Bi4 0.607 0.893 0.500
Tl3 0.320 0.820 0.000
Hg1 0.000 0.000 0.000
Hg2 0.500 0.500 0.000
Tl4 0.180 0.320 0.000
```


# POs2W2

A geometry-optimized POs2W2 structure (PBE, Alexandria via LeMat-Bulk).

Properties
excess energy over the best structure of this formula in the dataset: 0.2324 eV/atom
formation enthalpy at 0 K: 0.6919 eV/atom

Cell and atoms, written as CIF:
```
data_POs2W2
_cell_length_a 3.457
_cell_length_b 3.457
_cell_length_c 7.380
_cell_angle_alpha 76.45
_cell_angle_beta 76.45
_cell_angle_gamma 90.00
_symmetry_space_group_name_H-M 'P 1'
_symmetry_Int_Tables_number 1
loop_
_symmetry_equiv_pos_as_xyz
'x,y,z'
loop_
_atom_site_label
_atom_site_fract_x
_atom_site_fract_y
_atom_site_fract_z
Os1 0.250 0.750 0.500
W1 0.401 0.401 0.198
P1 0.000 0.000 0.000
Os2 0.750 0.250 0.500
W2 0.599 0.599 0.802
```